Density functional theory data (PBE-GGA) for YMnSb2 after structural relaxation.

* formation energy without anion corrections: -1.38 eV per formula unit
* space-group type: P4/mmm, No. 123

Lattice parameters (Å, degrees): 4.245 4.245 6.009 90.00 90.00 90.00
Fractional coordinates of all 4 atoms:
1 Y 0.000 0.000 0.000
2 Mn 0.500 0.500 0.500
3 Sb 0.000 0.000 0.500
4 Sb 0.500 0.500 0.000



Density functional theory data (PBE-GGA) for GaFe2Ir6 after structural relaxation.

* calculated total energy: -147.98 eV/cell
* space-group type: P4_2/mnm, No. 136

Lattice parameters (Å, degrees): 8.093 8.093 3.855 90.00 90.00 90.00
Fractional coordinates of all 18 atoms:
1 Ga 0.000 0.000 0.000
2 Ga 0.500 0.500 0.500
3 Fe 0.178 0.178 0.500
4 Fe 0.322 0.678 0.000
5 Fe 0.678 0.322 0.000
6 Fe 0.822 0.822 0.500
7 Ir 0.007 0.333 0.000
8 Ir 0.163 0.837 0.500
9 Ir 0.167 0.507 0.500
10 Ir 0.333 0.007 0.000
11 Ir 0.337 0.337 0.000
12 Ir 0.493 0.833 0.500
13 Ir 0.507 0.167 0.500
14 Ir 0.663 0.663 0.000
15 Ir 0.667 0.993 0.000
16 Ir 0.833 0.493 0.500
17 Ir 0.837 0.163 0.500
18 Ir 0.993 0.667 0.000



Density functional theory data (PBE-GGA) for SrLaZn2Cu after structural relaxation.

* space-group type: P4/mmm, No. 123
* E above lowest polymorph: 1037 meV/atom

Lattice parameters (Å, degrees): 5.605 5.605 6.826 90.00 90.00 90.00
Fractional coordinates of all 5 atoms:
1 Sr 0.000 0.000 0.000
2 La 0.000 0.000 0.500
3 Zn 0.000 0.500 0.500
4 Zn 0.500 0.000 0.500
5 Cu 0.500 0.500 0.000



Density functional theory data (PBE-GGA) for BeAsIr3 after structural relaxation.

* space-group type: Pm-3m, No. 221
* E above lowest polymorph: 773 meV/atom

Lattice parameters (Å, degrees): 4.527 4.527 4.527 90.00 90.00 90.00
Fractional coordinates of all 5 atoms:
1 Be 0.000 0.000 0.000
2 As 0.500 0.500 0.500
3 Ir 0.000 0.500 0.500
4 Ir 0.500 0.000 0.500
5 Ir 0.500 0.500 0.000



Density functional theory data (PBE-GGA) for LiCeNiGe2 after structural relaxation.

* calculated total energy: -51.87 eV/cell
* space-group type: I-4m2, No. 119

Lattice parameters (Å, degrees): 4.135 4.135 10.089 90.00 90.00 90.00
Fractional coordinates of all 10 atoms:
1 Li 0.000 0.000 0.000
2 Li 0.500 0.500 0.500
3 Ce 0.000 0.500 0.750
4 Ce 0.500 0.000 0.250
5 Ni 0.000 0.000 0.500
6 Ni 0.500 0.500 0.000
7 Ge 0.000 0.500 0.126
8 Ge 0.000 0.500 0.374
9 Ge 0.500 0.000 0.626
10 Ge 0.500 0.000 0.874



Density functional theory data (PBE-GGA) for ErS4Br after structural relaxation.

* formation energy without anion corrections: -4.87 eV per formula unit
* space-group type: P-1, No. 2

Lattice parameters (Å, degrees): 4.088 8.347 9.991 89.71 85.25 81.71
Fractional coordinates of all 12 atoms:
1 Er 0.028 0.221 0.257
2 Er 0.972 0.779 0.743
3 S 0.314 0.107 0.998
4 S 0.421 0.997 0.668
5 S 0.472 0.198 0.456
6 S 0.483 0.704 0.923
7 S 0.517 0.296 0.077
8 S 0.528 0.802 0.544
9 S 0.579 0.003 0.332
10 S 0.686 0.893 0.002
11 Br 0.199 0.466 0.710
12 Br 0.801 0.534 0.290



Density functional theory data (PBE-GGA) for KCaIn2Co after structural relaxation.

* calculated total energy: -15.99 eV/cell
* space-group type: P4/mmm, No. 123

Lattice parameters (Å, degrees): 5.118 5.118 5.262 90.00 90.00 90.00
Fractional coordinates of all 5 atoms:
1 K 0.000 0.000 0.000
2 Ca 0.500 0.500 0.000
3 In 0.000 0.500 0.500
4 In 0.500 0.000 0.500
5 Co 0.500 0.500 0.500



Density functional theory data (PBE-GGA) for Ti2MnCoRe after structural relaxation.

* calculated total energy: -38.68 eV/cell
* space-group type: P4/mmm, No. 123

Lattice parameters (Å, degrees): 4.734 4.734 4.490 90.00 90.00 90.00
Fractional coordinates of all 5 atoms:
1 Ti 0.000 0.500 0.000
2 Ti 0.500 0.000 0.000
3 Mn 0.000 0.000 0.500
4 Co 0.500 0.500 0.500
5 Re 0.000 0.000 0.000



Density functional theory data (PBE-GGA) for CdFe3Tc after structural relaxation.

* space-group type: Pm-3m, No. 221
* E above lowest polymorph: 0 meV/atom

Lattice parameters (Å, degrees): 4.501 4.501 4.501 90.00 90.00 90.00
Fractional coordinates of all 5 atoms:
1 Cd 0.000 0.000 0.000
2 Fe 0.000 0.500 0.500
3 Fe 0.500 0.000 0.500
4 Fe 0.500 0.500 0.000
5 Tc 0.500 0.500 0.500



Density functional theory data (PBE-GGA) for PrDyTlPb after structural relaxation.

* space-group type: I-4m2, No. 119
* E above lowest polymorph: 0 meV/atom

Lattice parameters (Å, degrees): 5.098 5.098 8.958 90.00 90.00 90.00
Fractional coordinates of all 8 atoms:
1 Pr 0.000 0.000 0.000
2 Pr 0.500 0.500 0.500
3 Dy 0.000 0.000 0.500
4 Dy 0.500 0.500 0.000
5 Tl 0.000 0.500 0.250
6 Tl 0.500 0.000 0.750
7 Pb 0.000 0.500 0.750
8 Pb 0.500 0.000 0.250



Density functional theory data (PBE-GGA) for CaPm2Ge4Pt3 after structural relaxation.

* calculated total energy: -56.37 eV/cell
* space-group type: P-4m2, No. 115

Lattice parameters (Å, degrees): 4.298 4.298 11.271 90.00 90.00 90.00
Fractional coordinates of all 10 atoms:
1 Ca 0.000 0.000 0.000
2 Pm 0.000 0.500 0.734
3 Pm 0.500 0.000 0.266
4 Ge 0.000 0.000 0.500
5 Ge 0.000 0.500 0.163
6 Ge 0.500 0.000 0.837
7 Ge 0.500 0.500 0.500
8 Pt 0.000 0.500 0.382
9 Pt 0.500 0.000 0.618
10 Pt 0.500 0.500 0.000



no.,calculated density (g cm⁻³)
1,5.94
2,17.56
3,3.26
4,11.82
5,6.76
6,3.71
7,4.43
8,6.53
9,6.88
10,10.20
11,9.62